Entry 1:
Here is a relaxed structure of FeNiRh from Alexandria. Energies are from PBE.

Cell: 2.643 3.582 7.938 Å, 90.00 90.00 90.00°
Space group Imm2 (No. 44)
Symmetry-distinct sites (fractional):
Fe 0.000 0.000 0.000 [2 per cell]
Ni 0.000 0.000 0.660 [2 per cell]
Rh 0.000 0.000 0.330 [2 per cell]

Output
Calculated formation energy in meV/atom: 2
Distance to the lowest polymorph of the same formula in eV per atom: 0.006


Entry 2:
Here is a relaxed structure of Ac2Mg3Ga2 from Alexandria. Energies are from PBE.

Cell: 11.435 4.703 7.339 Å, 90.00 102.15 90.00°
Space group C2/m (No. 12)
Symmetry-distinct sites (fractional):
Ac 0.119 0.000 0.366 [4 per cell]
Mg 0.000 0.500 0.000 [2 per cell]
Mg 0.193 0.000 0.879 [4 per cell]
Ga 0.100 0.500 0.686 [4 per cell]

Output
Calculated formation energy in meV/atom: -290
Distance to the lowest polymorph of the same formula in eV per atom: 0.013


Entry 3:
Here is a relaxed structure of CsScMo3 from Alexandria. Energies are from PBE.

Cell: 5.163 5.163 5.163 Å, 90.00 90.00 90.00°
Space group Pm-3m (No. 221)
Symmetry-distinct sites (fractional):
Cs 0.000 0.000 0.000 [1 per cell]
Sc 0.500 0.500 0.500 [1 per cell]
Mo 0.000 0.500 0.500 [3 per cell]

Output
Calculated formation energy in meV/atom: 2365
Distance to the lowest polymorph of the same formula in eV per atom: 0.000


Entry 4:
Here is a relaxed structure of LiBeInF6 from Alexandria. Energies are from PBE.

Cell: 5.1004 5.1004 8.8291 Å, 90.00 90.00 120.00°
Space group P-31c (No. 163)
Symmetry-distinct sites (fractional):
Li 0.0000 0.0000 0.0000 [2 per cell]
Be 0.3333 0.6667 0.2500 [2 per cell]
In 0.3333 0.6667 0.7500 [2 per cell]
F 0.0478 0.3751 0.1347 [12 per cell]

Output
Formation energy without anion corrections in eV per atom: -2.727


Entry 5:
Here is a relaxed structure of NpIn3Pd12 from Alexandria. Energies are from PBE.

Cell: 4.071 4.071 16.185 Å, 90.00 90.00 90.00°
Space group P4/mmm (No. 123)
Symmetry-distinct sites (fractional):
Np 0.000 0.000 0.000 [1 per cell]
In 0.000 0.000 0.256 [2 per cell]
In 0.000 0.000 0.500 [1 per cell]
Pd 0.000 0.500 0.126 [4 per cell]
Pd 0.000 0.500 0.377 [4 per cell]
Pd 0.500 0.500 0.000 [1 per cell]
Pd 0.500 0.500 0.251 [2 per cell]
Pd 0.500 0.500 0.500 [1 per cell]

Output
Calculated formation energy in meV/atom: -447


Entry 6:
Here is a relaxed structure of Y2Ho3TmTe6 from Alexandria. Energies are from PBE.

Cell: 18.900 4.320 8.722 Å, 90.00 102.93 90.00°
Space group C2/m (No. 12)
Symmetry-distinct sites (fractional):
Y 0.169 0.000 0.336 [4 per cell]
Ho 0.000 0.500 0.500 [2 per cell]
Ho 0.170 0.000 0.833 [4 per cell]
Tm 0.000 0.500 0.000 [2 per cell]
Te 0.001 0.000 0.753 [4 per cell]
Te 0.164 0.500 0.080 [4 per cell]
Te 0.165 0.500 0.584 [4 per cell]

Output
Formation energy without anion corrections in eV per atom: -1.254


The calculation returns the following calculated density values, one per record and in order: 9.61; 5.74; 5.62; 4.09; 11.50; 7.69 Mg/m³.
The calculation returns the following final energy values, one per record and in order: -7.1961; -3.0118; -5.5708; -4.9056; -5.6643; -5.4192 eV per atom.